# YTm3Sb3 (GGA-PBE, optimized geometry)
data_YTm3Sb3
_space_group_name_H-M_alt 'R -3'
_space_group_IT_number 148
_space_group_name_Hall '-R 3'
_cell_length_a 8.8791
_cell_length_b 8.8791
_cell_length_c 18.2493
_cell_angle_alpha 90.00
_cell_angle_beta 90.00
_cell_angle_gamma 120.00
loop_
_atom_site_label
_atom_site_type_symbol
_atom_site_fract_x
_atom_site_fract_y
_atom_site_fract_z
Y1 Y 0.0000 0.0000 0.1657
Tm1 Tm 0.0018 0.7417 0.5831
Sb1 Sb 0.0036 0.6150 0.4165
# ΔE to the lowest computed polymorph	84	meV/atom
# ΔE_f (raw)	-0.8606	eV/atom
# density of states at the Fermi level	0.71	states/eV per atom
# calculated total energy	-0.402	Ry per atom